Entry 1:
{
  "formula": "Na2AgGe2Pd5",
  "functional": "PBE",
  "state": "relaxed",
  "formation_energy_kj_per_mol_fu": -319,
  "space_group": "P4/mbm",
  "final_energy_ev_per_atom": -4.399,
  "lattice": [[3.6868, 0.0000, 0.0000], [0.0000, 9.7104, 0.0000], [0.0000, 0.0000, 9.7104]],
  "species": ["Na", "Na", "Na", "Na", "Ag", "Ag", "Ge", "Ge", "Ge", "Ge", "Pd", "Pd", "Pd", "Pd", "Pd", "Pd", "Pd", "Pd", "Pd", "Pd"],
  "frac_coords": [[0.0000, 0.6726, 0.1726], [0.0000, 0.3274, 0.8274], [0.0000, 0.1726, 0.3274], [0.0000, 0.8274, 0.6726], [0.0000, 0.0000, 0.0000], [0.0000, 0.5000, 0.5000], [0.0000, 0.1272, 0.6272], [0.0000, 0.8728, 0.3728], [0.0000, 0.6272, 0.8728], [0.0000, 0.3728, 0.1272], [0.5000, 0.2072, 0.0702], [0.5000, 0.7928, 0.9298], [0.5000, 0.0702, 0.7928], [0.5000, 0.7072, 0.4298], [0.5000, 0.9298, 0.2072], [0.5000, 0.2928, 0.5702], [0.5000, 0.5702, 0.7072], [0.5000, 0.4298, 0.2928], [0.5000, 0.5000, 0.0000], [0.5000, 0.0000, 0.5000]]
}

***

Entry 2:
{
  "formula": "NaPmAgGe",
  "functional": "PBE",
  "state": "relaxed",
  "formation_energy_kj_per_mol_fu": -120,
  "space_group": "F-43m",
  "final_energy_ev_per_atom": -3.695,
  "lattice": [[-3.0718, 2.2100, -3.3890], [-3.1440, -2.8359, -2.8069], [-5.0070, 0.1686, 0.8410]],
  "species": ["Na", "Ge", "Ag", "Pm"],
  "frac_coords": [[0.5000, 0.5000, 0.5000], [0.2500, 0.2500, 0.2500], [0.7500, 0.7500, 0.7500], [0.0000, 0.0000, 0.0000]]
}

***

Entry 3:
{
  "formula": "Na2AgGePt",
  "functional": "PBE",
  "state": "relaxed",
  "formation_energy_kj_per_mol_fu": 261,
  "space_group": "P4/mmm",
  "final_energy_ev_per_atom": -2.688,
  "lattice": [[-4.9312, -0.5289, -1.5273], [1.0221, -4.8191, -1.6312], [-1.2534, -1.8529, 4.6887]],
  "species": ["Na", "Na", "Ge", "Ag", "Pt"],
  "frac_coords": [[0.0000, 0.5000, 0.0000], [0.5000, 0.0000, 0.0000], [0.5000, 0.5000, 0.5000], [0.0000, 0.0000, 0.5000], [0.0000, 0.0000, 0.0000]]
}

***

Entry 4:
{
  "formula": "Na2AgGe3Pt4",
  "functional": "PBE",
  "state": "relaxed",
  "formation_energy_kj_per_mol_fu": -366,
  "space_group": "P-4m2",
  "final_energy_ev_per_atom": -4.730,
  "lattice": [[4.1260, 0.0000, 0.0000], [0.0000, 4.1260, 0.0000], [0.0000, 0.0000, 11.1656]],
  "species": ["Na", "Na", "Ag", "Ge", "Ge", "Ge", "Pt", "Pt", "Pt", "Pt"],
  "frac_coords": [[0.5000, 0.0000, 0.2561], [0.0000, 0.5000, 0.7439], [0.5000, 0.5000, 0.5000], [0.0000, 0.0000, 0.5000], [0.5000, 0.0000, 0.8667], [0.0000, 0.5000, 0.1333], [0.5000, 0.5000, 0.0000], [0.0000, 0.0000, 0.0000], [0.5000, 0.0000, 0.6520], [0.0000, 0.5000, 0.3480]]
}

***

Entry 5:
{
  "formula": "RbNaAg2Ge",
  "functional": "PBE",
  "state": "relaxed",
  "formation_energy_kj_per_mol_fu": 5,
  "space_group": "P4/mmm",
  "final_energy_ev_per_atom": -2.511,
  "lattice": [[5.1073, 0.0000, 0.0000], [0.0000, 5.6344, 0.0000], [0.0000, 0.0000, 5.1073]],
  "species": ["Na", "Ge", "Rb", "Ag", "Ag"],
  "frac_coords": [[0.0000, 0.5000, 0.0000], [0.0000, 0.0000, 0.0000], [0.5000, 0.5000, 0.5000], [0.0000, 0.0000, 0.5000], [0.5000, 0.0000, 0.0000]]
}

***

Entry 6:
{
  "formula": "NaAg2GeS4",
  "functional": "PBE",
  "state": "relaxed",
  "space_group": "I222",
  "e_form_raw_kj_per_mol_atoms": -37.17,
  "final_energy_ev_per_atom": -3.904,
  "lattice": [[-4.4004, -2.1637, -4.7159], [-5.2088, -2.9338, 1.2990], [-4.3218, 3.5370, -2.4974]],
  "species": ["Na", "Ag", "Ag", "Ge", "S", "S", "S", "S"],
  "frac_coords": [[0.0000, 0.0000, 0.0000], [0.5000, 0.7146, 0.2854], [0.5000, 0.2854, 0.7146], [0.0000, 0.5000, 0.5000], [0.6144, 0.5266, 0.8592], [0.3856, 0.1408, 0.4734], [0.0002, 0.4734, 0.1408], [0.9998, 0.8592, 0.5266]]
}

***

Entry 7:
{
  "formula": "Na5AgGe2S7",
  "functional": "PBE",
  "state": "relaxed",
  "space_group": "C2/c",
  "e_form_raw_kj_per_mol_atoms": -78.55,
  "final_energy_ev_per_atom": -3.986,
  "lattice": [[6.9417, 0.0224, -0.0192], [-0.7666, 6.8992, -0.0192], [2.3642, 2.6500, 14.4557]],
  "species": ["Na", "Na", "Na", "Na", "Na", "Na", "Na", "Na", "Na", "Na", "Ag", "Ag", "Ge", "Ge", "Ge", "Ge", "S", "S", "S", "S", "S", "S", "S", "S", "S", "S", "S", "S", "S", "S"],
  "frac_coords": [[0.0274, 0.7376, 0.5812], [0.2624, 0.9726, 0.9188], [0.9726, 0.2624, 0.4188], [0.7376, 0.0274, 0.0812], [0.5000, 0.5000, 0.5000], [0.5000, 0.5000, 0.0000], [0.9743, 0.5247, 0.1409], [0.4753, 0.0257, 0.3591], [0.0257, 0.4753, 0.8591], [0.5247, 0.9743, 0.6409], [0.4160, 0.5840, 0.2500], [0.5840, 0.4160, 0.7500], [0.9168, 0.7628, 0.3593], [0.2372, 0.0832, 0.1407], [0.0832, 0.2372, 0.6407], [0.7628, 0.9168, 0.8593], [0.7369, 0.8713, 0.4735], [0.1287, 0.2631, 0.0265], [0.2631, 0.1287, 0.5265], [0.8713, 0.7369, 0.9735], [0.1980, 0.6713, 0.3926], [0.3287, 0.8020, 0.1074], [0.8020, 0.3287, 0.6074], [0.6713, 0.1980, 0.8926], [0.7431, 0.5185, 0.3149], [0.4815, 0.2569, 0.1851], [0.2569, 0.4815, 0.6851], [0.5185, 0.7431, 0.8149], [0.9569, 0.0431, 0.2500], [0.0431, 0.9569, 0.7500]]
}

***

Entry 8:
{
  "formula": "Na2AgGeS4",
  "functional": "PBE",
  "state": "relaxed",
  "space_group": "I-42m",
  "e_form_raw_kj_per_mol_atoms": -51.87,
  "final_energy_ev_per_atom": -3.865,
  "lattice": [[6.6222, 0.0000, 0.0000], [3.3111, 5.0607, 0.0000], [3.3111, 0.0000, 5.0607]],
  "species": ["Na", "Na", "Ag", "Ge", "S", "S", "S", "S"],
  "frac_coords": [[0.0000, 0.5000, 0.5000], [0.5000, 0.5000, 0.5000], [0.0000, 0.0000, 0.0000], [0.5000, 0.0000, 0.0000], [0.1174, 0.3483, 0.0000], [0.8826, 0.0000, 0.6517], [0.5343, 0.0000, 0.3483], [0.4657, 0.6517, 0.0000]]
}

***

Entry 9:
{
  "formula": "NaAg2GeSe4",
  "functional": "PBE",
  "state": "relaxed",
  "space_group": "I222",
  "e_form_raw_kj_per_mol_atoms": -34.32,
  "final_energy_ev_per_atom": -3.553,
  "lattice": [[7.1148, 0.0000, 0.0000], [3.5574, 5.3092, -0.6642], [3.5574, -0.0722, 5.3501]],
  "species": ["Na", "Ag", "Ag", "Ge", "Se", "Se", "Se", "Se"],
  "frac_coords": [[0.0000, 0.0000, 0.0000], [0.5000, 0.6948, 0.3052], [0.5000, 0.3052, 0.6948], [0.0000, 0.5000, 0.5000], [0.5999, 0.5398, 0.8648], [0.4001, 0.1352, 0.4602], [0.0046, 0.4602, 0.1352], [0.9954, 0.8648, 0.5398]]
}

***

Entry 10:
{
  "formula": "Na2AgGeSe4",
  "functional": "PBE",
  "state": "relaxed",
  "space_group": "I-42m",
  "e_form_raw_kj_per_mol_atoms": -50.05,
  "final_energy_ev_per_atom": -3.524,
  "lattice": [[6.8829, 0.0000, 0.0000], [3.4415, 5.2820, 0.0000], [3.4415, 0.0000, 5.2820]],
  "species": ["Na", "Na", "Ag", "Ge", "Se", "Se", "Se", "Se"],
  "frac_coords": [[0.0000, 0.5000, 0.5000], [0.5000, 0.5000, 0.5000], [0.0000, 0.0000, 0.0000], [0.5000, 0.0000, 0.0000], [0.1085, 0.3590, 0.0000], [0.8915, 0.0000, 0.6410], [0.5325, 0.0000, 0.3590], [0.4675, 0.6410, 0.0000]]
}

***

Entry 11:
{
  "formula": "Na5AgGe2Se7",
  "functional": "PBE",
  "state": "relaxed",
  "space_group": "C2/c",
  "e_form_raw_kj_per_mol_atoms": -71.91,
  "final_energy_ev_per_atom": -3.617,
  "lattice": [[7.2602, -0.1080, 0.0585], [-0.6666, 7.2304, 0.0585], [2.3163, 2.5021, 15.2647]],
  "species": ["Na", "Na", "Na", "Na", "Na", "Na", "Na", "Na", "Na", "Na", "Ag", "Ag", "Ge", "Ge", "Ge", "Ge", "Se", "Se", "Se", "Se", "Se", "Se", "Se", "Se", "Se", "Se", "Se", "Se", "Se", "Se"],
  "frac_coords": [[0.0000, 0.0000, 0.5000], [0.0000, 0.0000, 0.0000], [0.4725, 0.7618, 0.9202], [0.5275, 0.2382, 0.0798], [0.2382, 0.5275, 0.5798], [0.7618, 0.4725, 0.4202], [0.4838, 0.0260, 0.6459], [0.5162, 0.9740, 0.3541], [0.9740, 0.5162, 0.8541], [0.0260, 0.4838, 0.1459], [0.9137, 0.0863, 0.7500], [0.0863, 0.9137, 0.2500], [0.4143, 0.2620, 0.8599], [0.5857, 0.7380, 0.1401], [0.7380, 0.5857, 0.6401], [0.2620, 0.4143, 0.3599], [0.2360, 0.0119, 0.8150], [0.7640, 0.9881, 0.1850], [0.9881, 0.7640, 0.6850], [0.0119, 0.2360, 0.3150], [0.4533, 0.5467, 0.7500], [0.5467, 0.4533, 0.2500], [0.7004, 0.1641, 0.8934], [0.2996, 0.8359, 0.1066], [0.8359, 0.2996, 0.6066], [0.1641, 0.7004, 0.3934], [0.6237, 0.7697, 0.5253], [0.3763, 0.2303, 0.4747], [0.2303, 0.3763, 0.9747], [0.7697, 0.6237, 0.0253]]
}

***

Entry 12:
{
  "formula": "NaSmAgGe",
  "functional": "PBE",
  "state": "relaxed",
  "formation_energy_kj_per_mol_fu": -119,
  "space_group": "F-43m",
  "final_energy_ev_per_atom": -3.684,
  "lattice": [[5.0621, 0.0000, 0.0000], [2.5310, 4.3839, 0.0000], [2.5310, 1.4613, 4.1332]],
  "species": ["Na", "Ge", "Ag", "Sm"],
  "frac_coords": [[0.7500, 0.7500, 0.7500], [0.0000, 0.0000, 0.0000], [0.5000, 0.5000, 0.5000], [0.2500, 0.2500, 0.2500]]
}

***

Repeat the fourth record exactly.
{
  "formula": "Na2AgGe3Pt4",
  "functional": "PBE",
  "state": "relaxed",
  "formation_energy_kj_per_mol_fu": -366,
  "space_group": "P-4m2",
  "final_energy_ev_per_atom": -4.730,
  "lattice": [[4.1260, 0.0000, 0.0000], [0.0000, 4.1260, 0.0000], [0.0000, 0.0000, 11.1656]],
  "species": ["Na", "Na", "Ag", "Ge", "Ge", "Ge", "Pt", "Pt", "Pt", "Pt"],
  "frac_coords": [[0.5000, 0.0000, 0.2561], [0.0000, 0.5000, 0.7439], [0.5000, 0.5000, 0.5000], [0.0000, 0.0000, 0.5000], [0.5000, 0.0000, 0.8667], [0.0000, 0.5000, 0.1333], [0.5000, 0.5000, 0.0000], [0.0000, 0.0000, 0.0000], [0.5000, 0.0000, 0.6520], [0.0000, 0.5000, 0.3480]]
}